This record from Alexandria via LeMat-Bulk describes crystalline SrYPt2 at its relaxed geometry. The functional is PBE.

Results
mass density	10.3	g cm⁻³
Fermi-level density of states	0.417	states/eV/atom
total energy	-23.099	eV per formula unit
formation energy from the elements	-2.87	eV per formula unit

a = 4.2056 Å, b = 4.2056 Å, c = 10.3230 Å
α = 90.00°, β = 90.00°, γ = 90.00°
With the nearest neighbours (Å) after each atom.
Space group I-4m2 (No. 119)
Asymmetric unit:
Sr (0.0000, 0.0000, 0.0000) (multiplicity 2)  8 Pt 2.97-3.33, 4 Y 3.33
Y (0.0000, 0.5000, 0.7500) (multiplicity 2)  8 Pt 2.97-3.33, 4 Sr 3.33
Pt (0.0000, 0.0000, 0.5000) (multiplicity 2)  4 Sr 2.97, 4 Pt 3.33, 4 Y 3.33
Pt (0.0000, 0.5000, 0.2500) (multiplicity 2)  4 Y 2.97, 4 Pt 3.33, 4 Sr 3.33